A plane-wave DFT calculation with GGA-PBE was carried out for an optimized crystal structure of TeN.

Cell: 7.0645 7.0645 7.0645 Å, 109.47 109.47 109.47°
Fractional positions:
Te (0.0000, 0.0000, 0.2794)
Te (0.0000, 0.2794, 0.0000)
Te (0.2794, 0.0000, 0.0000)
Te (0.7206, 0.7206, 0.7206)
N (0.0000, 0.0000, 0.7515)
N (0.0000, 0.7515, 0.0000)
N (0.2485, 0.2485, 0.2485)
N (0.7515, 0.0000, 0.0000)

Symmetry: I-43m (217)
Uncorrected formation energy: 2.32 eV per formula unit
DOS at the Fermi energy: 1.40 states/eV/f.u.
Energy above the lowest structure with this stoichiometry: 278.8 meV/atom